No. 1
## LiSi (GGA-PBE)

Data for a relaxed structure of LiSi.

Lattice parameters (Å, degrees): 3.9557 3.9557 14.8140 90.00 90.00 120.00
Space group R-3m (No. 166, hexagonal axes)
Inequivalent atoms, fractional coordinates:
Li 0.0000 0.0000 0.1138 x6
Si 0.0000 0.0000 0.3041 x6

Magnetic moment   0.0 μB per cell
E_form (uncorrected)   -89 meV/atom

No. 2
## MgSnHg (GGA-PBE)

Data for a relaxed structure of MgSnHg.

Lattice parameters (Å, degrees): 5.116 5.797 6.078 79.16 65.15 63.98
Space group P1 (No. 1)
Inequivalent atoms, fractional coordinates:
Mg 0.000 0.000 0.000 x1
Mg 0.249 0.496 0.503 x1
Sn 0.328 0.343 0.002 x1
Sn 0.579 0.839 0.500 x1
Hg 0.652 0.692 0.002 x1
Hg 0.903 0.188 0.502 x1

VASP energy   -2.01 eV/atom
Magnetic moment   0.0 μB per cell

No. 3
## ReAu2Cl8 (GGA-PBE)

Data for a relaxed structure of ReAu2Cl8.

Lattice parameters (Å, degrees): 6.359 7.279 7.946 74.78 69.06 82.34
Space group P-1 (No. 2)
Inequivalent atoms, fractional coordinates:
Re 0.000 0.000 0.000 x1
Au 0.178 0.461 0.574 x2
Cl 0.065 0.666 0.123 x2
Cl 0.241 0.078 0.124 x2
Cl 0.296 0.972 0.736 x2
Cl 0.462 0.581 0.300 x2

Magnetic moment   1.6 μB per cell
E_form (uncorrected)   -367 meV/atom

No. 4
## SrHoCu2Ge2 (GGA-PBE)

Data for a relaxed structure of SrHoCu2Ge2.

Lattice parameters (Å, degrees): 4.3331 4.3331 7.7951 90.00 90.00 120.00
Space group P-3m1 (No. 164)
Inequivalent atoms, fractional coordinates:
Sr 0.0000 0.0000 0.0000 x1
Ho 0.0000 0.0000 0.5000 x1
Cu 0.3333 0.6667 0.7026 x2
Ge 0.3333 0.6667 0.2878 x2

VASP energy   -4.51 eV/atom
Magnetic moment   0.0 μB per cell

No. 5
## Ga2SnBi2 (GGA-PBE)

Data for a relaxed structure of Ga2SnBi2.

Lattice parameters (Å, degrees): 5.613 5.613 8.864 90.00 90.00 90.00
Space group I4/mmm (No. 139)
Inequivalent atoms, fractional coordinates:
Ga 0.000 0.000 0.142 x4
Sn 0.000 0.000 0.500 x2
Bi 0.000 0.500 0.250 x4

Energy relative to the lowest polymorph listed for this composition   0.052 eV per atom
Magnetic moment   0.0 μB per cell

No. 6
## Pu7SBr12 (GGA-PBE)

Data for a relaxed structure of Pu7SBr12.

Lattice parameters (Å, degrees): 14.9710 14.9710 10.2914 90.00 90.00 120.00
Space group R-3 (No. 148, hexagonal axes)
Inequivalent atoms, fractional coordinates:
Pu 0.0000 0.0000 0.0000 x3
Pu 0.0481 0.8750 0.3448 x18
S 0.0000 0.0000 0.5000 x3
Br 0.0206 0.4337 0.1627 x18
Br 0.0498 0.8711 0.8313 x18

Magnetic moment   126.0 μB per cell
E_form (uncorrected)   -1460 meV/atom

No. 7
## Ac3InGe2Rh9 (GGA-PBE)

Data for a relaxed structure of Ac3InGe2Rh9.

Lattice parameters (Å, degrees): 6.2737 6.2737 9.7810 90.00 90.00 120.00
Space group P-3m1 (No. 164)
Inequivalent atoms, fractional coordinates:
Ac 0.0000 0.0000 0.0000 x1
Ac 0.3333 0.6667 0.7047 x2
In 0.0000 0.0000 0.5000 x1
Ge 0.3333 0.6667 0.1626 x2
Rh 0.0000 0.5000 0.0000 x3
Rh 0.1430 0.2860 0.2736 x6

VASP energy   -6.41 eV/atom
Magnetic moment   0.0 μB per cell

No. 8
## Rb3Ho2PaS6 (GGA-PBE)

Data for a relaxed structure of Rb3Ho2PaS6.

Lattice parameters (Å, degrees): 7.033 12.181 8.059 90.00 106.91 90.00
Space group C2/m (No. 12)
Inequivalent atoms, fractional coordinates:
Rb 0.000 0.000 0.000 x2
Rb 0.000 0.332 0.000 x4
Ho 0.000 0.167 0.500 x4
Pa 0.000 0.500 0.500 x2
S 0.231 0.334 0.693 x8
S 0.232 0.000 0.693 x4

Magnetic moment   3.4 μB per cell
E_form (uncorrected)   -1693 meV/atom

No. 9
## NdAgSn (GGA-PBE)

Data for a relaxed structure of NdAgSn.

Lattice parameters (Å, degrees): 4.8589 4.8589 3.7155 90.00 90.00 120.00
Space group P-6m2 (No. 187)
Inequivalent atoms, fractional coordinates:
Nd 0.0000 0.0000 0.0000 x1
Ag 0.3333 0.6667 0.5000 x1
Sn 0.6667 0.3333 0.5000 x1

VASP energy   -4.43 eV/atom
Magnetic moment   0.0 μB per cell

No. 10
## Zr3Pt2 (GGA-PBE)

Data for a relaxed structure of Zr3Pt2.

Lattice parameters (Å, degrees): 9.730 14.317 5.644 90.00 90.00 90.00
Space group Fdd2 (No. 43)
Inequivalent atoms, fractional coordinates:
Zr 0.000 0.000 0.000 x8
Zr 0.031 0.110 0.505 x16
Pt 0.022 0.197 0.989 x16

Energy relative to the lowest polymorph listed for this composition   0.127 eV per atom
Magnetic moment   0.0 μB per cell

No. 11
## MoOs2Cl (GGA-PBE)

Data for a relaxed structure of MoOs2Cl.

Lattice parameters (Å, degrees): 2.859 4.581 9.103 90.00 90.00 90.00
Space group Imm2 (No. 44)
Inequivalent atoms, fractional coordinates:
Mo 0.000 0.000 0.000 x2
Os 0.000 0.000 0.534 x2
Os 0.000 0.500 0.786 x2
Cl 0.000 0.500 0.280 x2

Energy relative to the lowest polymorph listed for this composition   0.431 eV per atom
Magnetic moment   0.0 μB per cell
E_form (uncorrected)   903 meV/atom

No. 12
## NbRhS2 (GGA-PBE)

Data for a relaxed structure of NbRhS2.

Lattice parameters (Å, degrees): 6.145 6.145 6.145 90.00 90.00 90.00
Space group Fm-3m (No. 225)
Inequivalent atoms, fractional coordinates:
Nb 0.000 0.000 0.000 x4
Rh 0.000 0.000 0.500 x4
S 0.250 0.250 0.250 x8

Magnetic moment   0.0 μB per cell
E_form (uncorrected)   -376 meV/atom